[1]
Re2HgBr | PBE | relaxed

theoretical density	13.14	g cm⁻³
space-group type	I-42d, No. 122
magnetic moment	0.000	μB per formula unit
DOS at the Fermi energy	7.81	states/eV/cell
ΔE_f (raw)	31.42	kcal/mol of atoms
excess energy over the best structure of this formula in the dataset	640	meV/atom

CIF file:
```
data_Re2HgBr
_cell_length_a 9.750
_cell_length_b 9.750
_cell_length_c 9.750
_cell_angle_alpha 155.03
_cell_angle_beta 155.03
_cell_angle_gamma 35.61
_space_group_name_H-M_alt 'P 1'
_space_group_IT_number 1
loop_
_space_group_symop_operation_xyz
'x,y,z'
loop_
_atom_site_label
_atom_site_fract_x
_atom_site_fract_y
_atom_site_fract_z
Re1 0.033 0.625 0.908
Re2 0.375 0.283 0.408
Re3 0.717 0.125 0.092
Re4 0.875 0.967 0.592
Hg1 0.250 0.750 0.500
Hg2 0.500 0.500 0.000
Br1 0.000 0.000 0.000
Br2 0.750 0.250 0.500
```



[2]
ReHg2Br | PBE | relaxed

theoretical density	11.93	g cm⁻³
space-group type	Fm-3m, No. 225
magnetic moment	3.595	μB per formula unit
DOS at the Fermi energy	3.34	states/eV/cell
ΔE_f (raw)	30.32	kcal/mol of atoms
excess energy over the best structure of this formula in the dataset	757	meV/atom

CIF file:
```
data_ReHg2Br
_cell_length_a 5.084
_cell_length_b 5.084
_cell_length_c 5.084
_cell_angle_alpha 60.00
_cell_angle_beta 60.00
_cell_angle_gamma 60.00
_space_group_name_H-M_alt 'P 1'
_space_group_IT_number 1
loop_
_space_group_symop_operation_xyz
'x,y,z'
loop_
_atom_site_label
_atom_site_fract_x
_atom_site_fract_y
_atom_site_fract_z
Re1 0.000 0.000 0.000
Hg1 0.250 0.250 0.250
Hg2 0.750 0.750 0.750
Br1 0.500 0.500 0.500
```



[3]
Re2HgBr2 | PBE | relaxed

theoretical density	10.61	g cm⁻³
space-group type	I4/mmm, No. 139
magnetic moment	1.124	μB per formula unit
DOS at the Fermi energy	5.49	states/eV/cell
ΔE_f (raw)	26.52	kcal/mol of atoms
excess energy over the best structure of this formula in the dataset	43	meV/atom

CIF file:
```
data_Re2HgBr2
_cell_length_a 6.429
_cell_length_b 6.429
_cell_length_c 6.429
_cell_angle_alpha 138.67
_cell_angle_beta 138.67
_cell_angle_gamma 59.88
_space_group_name_H-M_alt 'P 1'
_space_group_IT_number 1
loop_
_space_group_symop_operation_xyz
'x,y,z'
loop_
_atom_site_label
_atom_site_fract_x
_atom_site_fract_y
_atom_site_fract_z
Re1 0.098 0.098 0.000
Re2 0.902 0.902 0.000
Hg1 0.500 0.500 0.000
Br1 0.250 0.750 0.500
Br2 0.750 0.250 0.500
```



[4]
ReHg2Br | PBE | relaxed

theoretical density	12.04	g cm⁻³
space-group type	Cmm2, No. 35
magnetic moment	0.000	μB per formula unit
DOS at the Fermi energy	3.14	states/eV/cell
ΔE_f (raw)	14.83	kcal/mol of atoms
excess energy over the best structure of this formula in the dataset	86	meV/atom

CIF file:
```
data_ReHg2Br
_cell_length_a 3.156
_cell_length_b 3.156
_cell_length_c 11.120
_cell_angle_alpha 90.00
_cell_angle_beta 90.00
_cell_angle_gamma 123.77
_space_group_name_H-M_alt 'P 1'
_space_group_IT_number 1
loop_
_space_group_symop_operation_xyz
'x,y,z'
loop_
_atom_site_label
_atom_site_fract_x
_atom_site_fract_y
_atom_site_fract_z
Re1 0.000 0.000 0.000
Hg1 0.000 0.000 0.486
Hg2 0.500 0.500 0.220
Br1 0.500 0.500 0.820
```



[5]
ReHg2Br | PBE | relaxed

theoretical density	12.65	g cm⁻³
space-group type	R3m, No. 160
magnetic moment	0.000	μB per formula unit
DOS at the Fermi energy	3.41	states/eV/cell
ΔE_f (raw)	13.74	kcal/mol of atoms
excess energy over the best structure of this formula in the dataset	38	meV/atom

CIF file:
```
data_ReHg2Br
_cell_length_a 10.859
_cell_length_b 10.859
_cell_length_c 10.859
_cell_angle_alpha 16.27
_cell_angle_beta 16.27
_cell_angle_gamma 16.27
_space_group_name_H-M_alt 'P 1'
_space_group_IT_number 1
loop_
_space_group_symop_operation_xyz
'x,y,z'
loop_
_atom_site_label
_atom_site_fract_x
_atom_site_fract_y
_atom_site_fract_z
Re1 0.000 0.000 0.000
Hg1 0.260 0.260 0.260
Hg2 0.500 0.500 0.500
Br1 0.725 0.725 0.725
```



[6]
ReHg2Br | PBE | relaxed

theoretical density	12.38	g cm⁻³
space-group type	R-3m, No. 166
magnetic moment	0.000	μB per formula unit
DOS at the Fermi energy	3.30	states/eV/cell
ΔE_f (raw)	17.98	kcal/mol of atoms
excess energy over the best structure of this formula in the dataset	222	meV/atom

CIF file:
```
data_ReHg2Br
_cell_length_a 12.069
_cell_length_b 12.069
_cell_length_c 12.069
_cell_angle_alpha 14.00
_cell_angle_beta 14.00
_cell_angle_gamma 14.00
_space_group_name_H-M_alt 'P 1'
_space_group_IT_number 1
loop_
_space_group_symop_operation_xyz
'x,y,z'
loop_
_atom_site_label
_atom_site_fract_x
_atom_site_fract_y
_atom_site_fract_z
Re1 0.000 0.000 0.000
Hg1 0.266 0.266 0.266
Hg2 0.734 0.734 0.734
Br1 0.500 0.500 0.500
```



[7]
ReHg2Br | PBE | relaxed

theoretical density	12.23	g cm⁻³
space-group type	Immm, No. 71
magnetic moment	0.000	μB per formula unit
DOS at the Fermi energy	3.56	states/eV/cell
ΔE_f (raw)	19.04	kcal/mol of atoms
excess energy over the best structure of this formula in the dataset	268	meV/atom

CIF file:
```
data_ReHg2Br
_cell_length_a 7.410
_cell_length_b 7.410
_cell_length_c 7.410
_cell_angle_alpha 157.39
_cell_angle_beta 144.53
_cell_angle_gamma 42.48
_space_group_name_H-M_alt 'P 1'
_space_group_IT_number 1
loop_
_space_group_symop_operation_xyz
'x,y,z'
loop_
_atom_site_label
_atom_site_fract_x
_atom_site_fract_y
_atom_site_fract_z
Re1 0.000 0.000 0.000
Hg1 0.186 0.686 0.500
Hg2 0.814 0.314 0.500
Br1 0.500 0.500 0.000
```



[8]
ReHgBr | PBE | relaxed

theoretical density	11.58	g cm⁻³
space-group type	Fmm2, No. 42
magnetic moment	0.317	μB per formula unit
DOS at the Fermi energy	2.97	states/eV/cell
ΔE_f (raw)	20.22	kcal/mol of atoms
excess energy over the best structure of this formula in the dataset	81	meV/atom

CIF file:
```
data_ReHgBr
_cell_length_a 8.662
_cell_length_b 8.353
_cell_length_c 3.113
_cell_angle_alpha 85.11
_cell_angle_beta 73.91
_cell_angle_gamma 20.98
_space_group_name_H-M_alt 'P 1'
_space_group_IT_number 1
loop_
_space_group_symop_operation_xyz
'x,y,z'
loop_
_atom_site_label
_atom_site_fract_x
_atom_site_fract_y
_atom_site_fract_z
Re1 0.000 0.000 0.000
Hg1 0.650 0.650 0.350
Br1 0.378 0.378 0.622
```



- Which of these has the lowest excess energy over the best structure of this formula in the dataset?
  number 5